No. 1
Computed, not measured: a relaxed structure of ReNiOs2 at the PBE-GGA level of DFT.

Lattice parameters (Å, degrees): 2.661 2.661 8.997 90.00 90.00 116.88
Sites, in units of the cell vectors:
Re1 0.000 0.000 0.000
Ni1 0.500 0.500 0.759
Os1 0.000 0.000 0.515
Os2 0.500 0.500 0.255

***

No. 2
Computed, not measured: a relaxed structure of CaAcTmCd at the PBE-GGA level of DFT.

Lattice parameters (Å, degrees): 5.724 5.724 5.724 60.00 60.00 60.00
Sites, in units of the cell vectors:
Ca1 0.000 0.000 0.000
Ac1 0.750 0.750 0.750
Tm1 0.500 0.500 0.500
Cd1 0.250 0.250 0.250

***

No. 3
Computed, not measured: a relaxed structure of LaSm12Ho7 at the PBE-GGA level of DFT.

Lattice parameters (Å, degrees): 9.386 9.386 9.386 107.86 107.86 107.86
Sites, in units of the cell vectors:
La1 0.000 0.000 0.000
Sm1 0.050 0.298 0.408
Sm2 0.223 0.669 0.375
Sm3 0.298 0.408 0.050
Sm4 0.331 0.625 0.777
Sm5 0.375 0.223 0.669
Sm6 0.408 0.050 0.298
Sm7 0.592 0.950 0.702
Sm8 0.625 0.777 0.331
Sm9 0.669 0.375 0.223
Sm10 0.702 0.592 0.950
Sm11 0.777 0.331 0.625
Sm12 0.950 0.702 0.592
Ho1 0.009 0.894 0.322
Ho2 0.106 0.678 0.991
Ho3 0.322 0.009 0.894
Ho4 0.500 0.500 0.500
Ho5 0.678 0.991 0.106
Ho6 0.894 0.322 0.009
Ho7 0.991 0.106 0.678

***

no.,D(E_F) (states/eV per atom),formation energy from the elements (eV/atom),size of the total moment (μB per cell)
1,1.6037,0.511,0.04
2,0.9080,0.099,0.00
3,1.7843,0.161,0.00